Crystalline Zn6Cu5Pt at its relaxed geometry, computed with GGA-PBE.

Computed properties:
Total moment in μB per formula unit: 0.0
DFT formation energy in eV/atom: -0.173
Raw total energy in eV/atom: -3.0203

a = 12.3342 Å, b = 7.0811 Å, c = 3.8753 Å
α = 90.00°, β = 108.22°, γ = 90.00°
Space group C2/m (No. 12)
One atom of each set of equivalent atoms:
Zn 0.0000 0.2451 0.0000
Zn 0.1678 0.2480 0.6676
Cu 0.0000 0.0000 0.5000
Cu 0.1685 0.0000 0.1686
Cu 0.1703 0.5000 0.1707
Pt 0.0000 0.5000 0.5000